1.
DFT (GGA-PBEsol) results for a relaxed ZnAgB2 crystal.

a b c (Å): 5.1822 5.1822 5.1822
angles (deg): 113.89 113.89 100.96
Last column: nearest neighbours and their distance in Å.
Fractional coordinates of all 8 atoms:
Zn 0.0000 0.0000 0.0000  4 B 2.12
Zn 0.7500 0.2500 0.5000  4 B 2.12
Ag 0.2500 0.7500 0.5000  4 B 2.21
Ag 0.5000 0.5000 0.0000  4 B 2.21
B 0.1134 0.1250 0.4884  2 Zn 2.12, 2 Ag 2.21
B 0.3750 0.8866 0.0116  2 Zn 2.12, 2 Ag 2.21
B 0.6366 0.6250 0.5116  2 Zn 2.12, 2 Ag 2.21
B 0.8750 0.3634 0.9884  2 Zn 2.12, 2 Ag 2.21

Results
DFT formation energy: 1.313 eV per atom
DFT total energy: -3.419 eV per atom
calculated volume: 105 Å³ per cell
N(E_F): 0.3780 states/eV/atom


2.
DFT (GGA-PBEsol) results for a relaxed Zr3AgB crystal.

a b c (Å): 4.5674 4.5674 4.5674
angles (deg): 90.00 90.00 90.00
Last column: nearest neighbours and their distance in Å.
Fractional coordinates of all 5 atoms:
Zr 0.0000 0.0000 0.5000  2 B 2.28
Zr 0.0000 0.5000 0.0000  2 B 2.28
Zr 0.5000 0.0000 0.0000  2 B 2.28
Ag 0.5000 0.5000 0.5000  12 Zr 3.23
B 0.0000 0.0000 0.0000  6 Zr 2.28

Results
DFT formation energy: -0.119 eV per atom
DFT total energy: -7.638 eV per atom
calculated volume: 95 Å³ per cell
N(E_F): 0.8929 states/eV/atom


3.
DFT (GGA-PBEsol) results for a relaxed BaAg5 crystal.

a b c (Å): 5.7421 5.7421 4.5486
angles (deg): 90.00 90.00 120.00
Last column: nearest neighbours and their distance in Å.
Fractional coordinates of all 6 atoms:
Ba 0.0000 0.0000 0.0000  18 Ag 3.32-3.66
Ag 0.0000 0.5000 0.5000  8 Ag 2.81-2.87
Ag 0.3333 0.6667 0.0000  6 Ag 2.81
Ag 0.5000 0.0000 0.5000  8 Ag 2.81-2.87
Ag 0.5000 0.5000 0.5000  8 Ag 2.81-2.87
Ag 0.6667 0.3333 0.0000  6 Ag 2.81

Results
DFT formation energy: -0.141 eV per atom
DFT total energy: -3.259 eV per atom
calculated volume: 130 Å³ per cell
polymorph energy (0 for the lowest one): 0.00 kcal/mol of atoms
N(E_F): 0.5196 states/eV/atom


4.
DFT (GGA-PBEsol) results for a relaxed Ba3Ag crystal.

a b c (Å): 9.2556 9.2556 4.5904
angles (deg): 90.00 90.00 105.28
Last column: nearest neighbours and their distance in Å.
Fractional coordinates of all 8 atoms:
Ba 0.1166 0.8834 0.7500  2 Ag 3.27
Ba 0.1831 0.4449 0.7500  2 Ag 3.40
Ba 0.4449 0.1831 0.2500  2 Ag 3.40
Ba 0.5551 0.8169 0.7500  2 Ag 3.40
Ba 0.8169 0.5551 0.2500  2 Ag 3.40
Ba 0.8834 0.1166 0.2500  2 Ag 3.27
Ag 0.2750 0.7250 0.2500  6 Ba 3.27-3.40
Ag 0.7250 0.2750 0.7500  6 Ba 3.27-3.40

Results
DFT formation energy: -0.067 eV per atom
DFT total energy: -2.506 eV per atom
calculated volume: 379 Å³ per cell
polymorph energy (0 for the lowest one): 0.59 kcal/mol of atoms
N(E_F): 1.1480 states/eV/atom


5.
DFT (GGA-PBEsol) results for a relaxed Ba3Ag crystal.

a b c (Å): 4.4358 4.4358 11.5367
angles (deg): 90.00 90.00 120.00
Last column: nearest neighbours and their distance in Å.
Fractional coordinates of all 4 atoms:
Ba 0.0000 0.0000 0.0000  12 Ba 4.44-4.47
Ba 0.3333 0.6667 0.3176  3 Ag 3.31
Ba 0.3333 0.6667 0.6824  3 Ag 3.31
Ag 0.0000 0.0000 0.5000  6 Ba 3.31

Results
DFT formation energy: -0.011 eV per atom
DFT total energy: -2.451 eV per atom
calculated volume: 197 Å³ per cell
polymorph energy (0 for the lowest one): 1.87 kcal/mol of atoms
N(E_F): 1.2588 states/eV/atom


6.
DFT (GGA-PBEsol) results for a relaxed BaAg2 crystal.

a b c (Å): 8.9950 8.9950 8.9950
angles (deg): 150.70 150.70 41.91
Last column: nearest neighbours and their distance in Å.
Fractional coordinates of all 6 atoms:
Ba 0.3750 0.6250 0.7500  12 Ag 3.49-3.64
Ba 0.6250 0.3750 0.2500  12 Ag 3.49-3.64
Ag 0.0440 0.7940 0.2500  3 Ag 2.71-2.72
Ag 0.2060 0.9560 0.2500  3 Ag 2.71-2.72
Ag 0.7940 0.0440 0.7500  3 Ag 2.71-2.72
Ag 0.9560 0.2060 0.7500  3 Ag 2.71-2.72

Results
DFT formation energy: -0.205 eV per atom
DFT total energy: -3.129 eV per atom
calculated volume: 174 Å³ per cell
N(E_F): 0.4304 states/eV/atom


7.
DFT (GGA-PBEsol) results for a relaxed BaAg2 crystal.

a b c (Å): 6.3034 6.3034 6.3700
angles (deg): 106.36 106.36 43.85
Last column: nearest neighbours and their distance in Å.
Fractional coordinates of all 6 atoms:
Ba 0.1057 0.1057 0.2993  10 Ag 3.37-3.67
Ba 0.8943 0.8943 0.7007  10 Ag 3.37-3.67
Ag 0.2239 0.2239 0.8759  5 Ag 2.80-2.87
Ag 0.4006 0.4006 0.3030  4 Ag 2.82-2.87
Ag 0.5994 0.5994 0.6970  4 Ag 2.82-2.87
Ag 0.7761 0.7761 0.1241  5 Ag 2.80-2.87

Results
DFT formation energy: -0.185 eV per atom
DFT total energy: -3.109 eV per atom
calculated volume: 167 Å³ per cell
N(E_F): 0.4848 states/eV/atom


8.
DFT (GGA-PBEsol) results for a relaxed BaAg2 crystal.

a b c (Å): 4.7973 4.7973 4.2729
angles (deg): 90.00 90.00 120.00
Last column: nearest neighbours and their distance in Å.
Fractional coordinates of all 3 atoms:
Ba 0.0000 0.0000 0.0000  12 Ag 3.50
Ag 0.3333 0.6667 0.5000  3 Ag 2.77
Ag 0.6667 0.3333 0.5000  3 Ag 2.77

Results
DFT formation energy: -0.224 eV per atom
DFT total energy: -3.148 eV per atom
calculated volume: 85 Å³ per cell
N(E_F): 0.3408 states/eV/atom


9.
DFT (GGA-PBEsol) results for a relaxed BaAg crystal.

a b c (Å): 6.4307 6.4307 8.4900
angles (deg): 110.04 110.04 41.13
Last column: nearest neighbours and their distance in Å.
Fractional coordinates of all 6 atoms:
Ba 0.0000 0.0000 0.0000  7 Ag 3.30-3.49
Ba 0.6415 0.6415 0.7005  6 Ag 3.28-3.48
Ba 0.8150 0.8150 0.3498  7 Ag 3.41-3.61
Ag 0.2918 0.2918 0.0068  2 Ag 2.81-2.98
Ag 0.3513 0.3513 0.6961  1 Ag 2.98
Ag 0.5076 0.5076 0.2876  1 Ag 2.81

Results
DFT formation energy: -0.147 eV per atom
DFT total energy: -2.877 eV per atom
calculated volume: 215 Å³ per cell
N(E_F): 0.8371 states/eV/atom


10.
DFT (GGA-PBEsol) results for a relaxed BaAg crystal.

a b c (Å): 8.4408 8.4408 8.4408
angles (deg): 32.85 32.85 32.85
Last column: nearest neighbours and their distance in Å.
Fractional coordinates of all 4 atoms:
Ba 0.0860 0.0860 0.0860  6 Ag 3.43-3.44
Ba 0.9140 0.9140 0.9140  6 Ag 3.43-3.44
Ag 0.3330 0.3330 0.3330  3 Ag 2.76
Ag 0.6670 0.6670 0.6670  3 Ag 2.76

Results
DFT formation energy: -0.198 eV per atom
DFT total energy: -2.928 eV per atom
calculated volume: 157 Å³ per cell
N(E_F): 0.5902 states/eV/atom


11.
DFT (GGA-PBEsol) results for a relaxed Ba3Ag2 crystal.

a b c (Å): 5.6510 5.6510 6.9263
angles (deg): 90.00 90.00 120.00
Last column: nearest neighbours and their distance in Å.
Fractional coordinates of all 5 atoms:
Ba 0.0000 0.0000 0.0000  6 Ag 3.47
Ba 0.3333 0.6667 0.3281  5 Ag 3.44-3.47
Ba 0.6667 0.3333 0.6719  5 Ag 3.44-3.47
Ag 0.3333 0.6667 0.8290  8 Ba 3.44-3.47
Ag 0.6667 0.3333 0.1710  8 Ba 3.44-3.47

Results
DFT formation energy: -0.125 eV per atom
DFT total energy: -2.739 eV per atom
calculated volume: 192 Å³ per cell
polymorph energy (0 for the lowest one): 1.15 kcal/mol of atoms
N(E_F): 0.7256 states/eV/atom


12.
DFT (GGA-PBEsol) results for a relaxed BaAg crystal.

a b c (Å): 4.7698 4.7698 16.0213
angles (deg): 90.00 90.00 120.00
Last column: nearest neighbours and their distance in Å.
Fractional coordinates of all 8 atoms:
Ba 0.3333 0.6667 0.1212  6 Ag 3.44
Ba 0.3333 0.6667 0.3788  6 Ag 3.44
Ba 0.6667 0.3333 0.6212  6 Ag 3.44
Ba 0.6667 0.3333 0.8788  6 Ag 3.44
Ag 0.0000 0.0000 0.2500  3 Ag 2.75
Ag 0.0000 0.0000 0.7500  3 Ag 2.75
Ag 0.3333 0.6667 0.7500  3 Ag 2.75
Ag 0.6667 0.3333 0.2500  3 Ag 2.75

Results
DFT formation energy: -0.198 eV per atom
DFT total energy: -2.928 eV per atom
calculated volume: 316 Å³ per cell
N(E_F): 0.5905 states/eV/atom